Below is a relaxed ZrAl4Zn crystal, with properties calculated at the GGA-PBE level.

Calculated values
M_tot = 0.000 μB/f.u.
Total DFT energy (no corrections) = -4.377 eV/atom
Formation energy from the elements = -245 meV/atom

Cell: 4.1478 12.3535 3.9931 Å, 90.00 90.00 90.00°
With the nearest neighbours (Å) after each atom.
Space group Cmmm (No. 65)
Asymmetric unit:
1 Zr 0.0000 0.0000 0.0000 [2 per cell]  4 Zn 2.88, 8 Al 2.91-2.92
2 Al 0.0000 0.1710 0.5000 [4 per cell]  8 Al 2.84-2.88, 2 Zr 2.91, 2 Zn 2.96
3 Al 0.0000 0.3339 0.0000 [4 per cell]  8 Al 2.84-2.93, 2 Zn 2.86, 2 Zr 2.92
4 Zn 0.0000 0.5000 0.5000 [2 per cell]  8 Al 2.86-2.96, 4 Zr 2.88